1.
DFT (meta-GGA SCAN) results for a crystal of LaMo2Au relaxed with PBEsol.

a b c (Å): 2.7531 4.3000 6.5490
angles (deg): 90.00 90.00 90.00
Fractional coordinates of all 4 atoms:
La 0.0000 0.0000 0.0000
Mo 0.5000 0.5000 0.3092
Mo 0.5000 0.5000 0.6908
Au 0.0000 0.0000 0.5000

Results
Space group ... No. 47
Formation energy ... 2.212 eV per formula unit
Raw total energy ... -44.95 eV per atom
V ... 19.383 A^3/atom

=====

2.
DFT (meta-GGA SCAN) results for a crystal of Zn4Ni relaxed with PBEsol.

a b c (Å): 5.8898 5.8898 3.6641
angles (deg): 90.00 90.00 90.00
Fractional coordinates of all 10 atoms:
Zn 0.1027 0.7070 0.0000
Zn 0.2070 0.3973 0.5000
Zn 0.2930 0.1027 0.0000
Zn 0.3973 0.7930 0.5000
Zn 0.6027 0.2070 0.5000
Zn 0.7070 0.8973 0.0000
Zn 0.7930 0.6027 0.5000
Zn 0.8973 0.2930 0.0000
Ni 0.0000 0.0000 0.5000
Ni 0.5000 0.5000 0.0000

Results
Space group ... No. 87
Formation energy ... -0.640 eV per formula unit
Raw total energy ... -14.17 eV per atom
V ... 12.711 A^3/atom